1.
A plane-wave DFT calculation with PBE-GGA was carried out for an optimized crystal structure of Mn4AlGeC.

Cell: 5.3236 12.7753 5.3485 Å, 90.00 90.00 90.00°
Closest atoms and distances in Å follow each position.
Space group Cmcm (No. 63)
Unique sites:
Mn 0.0000 0.0856 0.2500  1 C 2.07
Mn 0.0000 0.4093 0.2500  1 C 2.06
Mn 0.2500 0.2500 0.0000  2 C 1.89
Al 0.0000 0.3914 0.7500  9 Mn 2.55-2.68
Ge 0.0000 0.1099 0.7500  9 Mn 2.50-2.69
C 0.0000 0.2477 0.2500  6 Mn 1.89-2.07

Output
Calculated formation energy ... 1.3 meV/atom
Electronic total energy ... -7.750 eV per atom



2.
A plane-wave DFT calculation with PBE-GGA was carried out for an optimized crystal structure of CsNa2Ge2.

Cell: 9.0200 9.0200 3.7106 Å, 90.00 90.00 90.00°
Closest atoms and distances in Å follow each position.
Space group P4/mbm (No. 127)
Unique sites:
Cs 0.0000 0.0000 0.0000  2 Cs 3.71, 4 Ge 3.72, 8 Na 3.81
Na 0.1767 0.3233 0.5000  6 Ge 3.18-3.41
Ge 0.0993 0.5993 0.0000  1 Ge 2.53

Output
Energy above the most stable polymorph in this dataset ... 0.146 eV/atom
Calculated formation energy ... 60.5 meV/atom
Electronic total energy ... -2.485 eV per atom



3.
A plane-wave DFT calculation with PBE-GGA was carried out for an optimized crystal structure of Ac3CdC.

Cell: 5.4731 5.4731 5.4731 Å, 90.00 90.00 90.00°
Closest atoms and distances in Å follow each position.
Space group Pm-3m (No. 221)
Unique sites:
Ac 0.0000 0.0000 0.5000  2 C 2.74
Cd 0.5000 0.5000 0.5000  12 Ac 3.87
C 0.0000 0.0000 0.0000  6 Ac 2.74

Output
Energy above the most stable polymorph in this dataset ... 0.040 eV/atom
Calculated formation energy ... -7.2 meV/atom
Electronic total energy ... -4.500 eV per atom



4.
A plane-wave DFT calculation with PBE-GGA was carried out for an optimized crystal structure of ZrP2PtS.

Cell: 5.0256 5.0256 4.7887 Å, 90.00 90.00 90.00°
Closest atoms and distances in Å follow each position.
Space group P4/mmm (No. 123)
Unique sites:
Zr 0.0000 0.0000 0.0000  2 S 2.39, 4 P 2.51
P 0.0000 0.5000 0.0000  2 Zr 2.51
Pt 0.5000 0.5000 0.5000  8 P 3.47, 4 S 3.55
S 0.0000 0.0000 0.5000  2 Zr 2.39

Output
Energy above the most stable polymorph in this dataset ... 0.393 eV/atom
ΔE_f (raw) ... 690 meV/atom
Electronic total energy ... -5.218 eV per atom



5.
A plane-wave DFT calculation with PBE-GGA was carried out for an optimized crystal structure of MnSb2Rh.

Cell: 4.7533 4.7533 3.2744 Å, 90.00 90.00 90.00°
Closest atoms and distances in Å follow each position.
Space group P4/mmm (No. 123)
Unique sites:
Mn 0.0000 0.0000 0.0000  8 Sb 2.89
Sb 0.0000 0.5000 0.5000  4 Rh 2.89, 4 Mn 2.89
Rh 0.5000 0.5000 0.0000  8 Sb 2.89

Output
Energy above the most stable polymorph in this dataset ... 0.127 eV/atom
ΔE_f (raw) ... -12 meV/atom
Electronic total energy ... -6.203 eV per atom



6.
A plane-wave DFT calculation with PBE-GGA was carried out for an optimized crystal structure of Zr3InBi.

Cell: 14.5199 8.9576 10.0888 Å, 90.00 132.85 90.00°
Closest atoms and distances in Å follow each position.
Space group C2/c (No. 15)
Unique sites:
Zr 0.1043 0.1608 0.0620  4 Bi 3.14-3.38, 2 In 3.15-3.28, 4 Zr 3.22-3.24
Zr 0.1091 0.4006 0.5709  3 In 2.97-3.11, 6 Zr 3.01-3.29, 2 Bi 3.14-3.16
Zr 0.2362 0.3857 0.4004  6 Zr 3.00-3.29, 3 In 3.05-3.21, 2 Bi 3.08-3.12
In 0.0000 0.1970 0.2500  8 Zr 3.05-3.15
In 0.0000 0.4118 0.7500  8 Zr 2.97-3.28
Bi 0.1742 0.1161 0.8061  8 Zr 3.08-3.38, 1 In 3.43

Output
Energy above the most stable polymorph in this dataset ... 0.000 eV/atom
Calculated formation energy ... -206.0 meV/atom
Electronic total energy ... -6.659 eV per atom



Which formula does entry 2 have? CsNa2Ge2



Among the records above, which one has the lowest electronic total energy? Mn4AlGeC



electronic total energy of number 4 (ZrP2PtS)? -5.218 eV per atom